*one*
A plane-wave DFT calculation with PBE-GGA was carried out for Hf3CuPd after structural relaxation.

abc: 14.049 3.246 8.382
angles: 90.00 95.17 90.00
Space group C2/m (No. 12)
Asymmetric unit:
Hf: 0.034 0.000 0.221
Hf: 0.097 0.500 0.565
Hf: 0.231 0.000 0.823
Cu: 0.208 0.000 0.403
Pd: 0.100 0.500 0.963

## Properties
magnetization = 0.0 μB/cell


*two*
A plane-wave DFT calculation with PBE-GGA was carried out for Hf3CuPd after structural relaxation.

abc: 4.797 4.797 4.797
angles: 90.00 90.00 90.00
Space group Pm-3m (No. 221)
Asymmetric unit:
Hf: 0.000 0.000 0.500
Cu: 0.000 0.000 0.000
Pd: 0.500 0.500 0.500

## Properties
magnetization = 0.0 μB/cell


Most stable pick: *one*. Distance to second place: 78.5 kJ/mol of atoms.


*one*
A plane-wave DFT calculation with PBE-GGA was carried out for HfTiCuPd after structural relaxation.

abc: 6.442 6.442 6.442
angles: 90.00 90.00 90.00
Space group F-43m (No. 216)
Asymmetric unit:
Hf: 0.000 0.000 0.000
Ti: 0.000 0.000 0.500
Cu: 0.250 0.250 0.250
Pd: 0.250 0.250 0.750

## Properties
magnetization = 4.5 μB/cell


*two*
A plane-wave DFT calculation with PBE-GGA was carried out for HfTiCuPd after structural relaxation.

abc: 3.260 3.260 6.189
angles: 90.00 90.00 90.00
Space group P4mm (No. 99)
Asymmetric unit:
Hf: 0.000 0.000 0.000
Ti: 0.500 0.500 0.298
Cu: 0.500 0.500 0.756
Pd: 0.000 0.000 0.524

## Properties
magnetization = 0.0 μB/cell


Most stable pick: *two*. Distance to second place: 9.2 kJ/mol of atoms.


*one*
A plane-wave DFT calculation with PBE-GGA was carried out for PmHfCu2 after structural relaxation.

abc: 3.372 3.372 6.918
angles: 90.00 90.00 90.00
Space group P4/mmm (No. 123)
Asymmetric unit:
Pm: 0.000 0.000 0.000
Hf: 0.000 0.000 0.500
Cu: 0.500 0.500 0.302

## Properties
magnetization = 0.0 μB/cell


*two*
A plane-wave DFT calculation with PBE-GGA was carried out for PmHfCu2 after structural relaxation.

abc: 4.837 4.837 3.326
angles: 90.00 90.00 90.00
Space group P4/mmm (No. 123)
Asymmetric unit:
Pm: 0.000 0.000 0.000
Hf: 0.500 0.500 0.000
Cu: 0.000 0.500 0.500

## Properties
magnetization = 0.6 μB/cell


*three*
A plane-wave DFT calculation with PBE-GGA was carried out for PmHfCu2 after structural relaxation.

abc: 6.797 6.797 6.797
angles: 90.00 90.00 90.00
Space group Fm-3m (No. 225)
Asymmetric unit:
Pm: 0.000 0.000 0.000
Hf: 0.000 0.000 0.500
Cu: 0.250 0.250 0.250

## Properties
magnetization = 2.1 μB/cell


Most stable pick: *one*. Distance to second place: 8.6 kJ/mol of atoms.


*one*
A plane-wave DFT calculation with PBE-GGA was carried out for PrHfCu after structural relaxation.

abc: 3.5678 3.5678 13.1964
angles: 90.00 90.00 120.00
Space group P-6m2 (No. 187)
Asymmetric unit:
Pr: 0.0000 0.0000 0.1693
Hf: 0.6667 0.3333 0.3708
Cu: 0.0000 0.0000 0.5000
Cu: 0.6667 0.3333 0.0000

## Properties
magnetization = 0.0 μB/cell


*two*
A plane-wave DFT calculation with PBE-GGA was carried out for PrHfCu after structural relaxation.

abc: 3.396 3.396 11.957
angles: 90.00 90.00 90.00
Space group I4mm (No. 107)
Asymmetric unit:
Pr: 0.000 0.000 0.000
Hf: 0.000 0.000 0.297
Cu: 0.000 0.000 0.687

## Properties
magnetization = 0.0 μB/cell


Most stable pick: *two*. Distance to second place: 19.7 kJ/mol of atoms.


*one*
A plane-wave DFT calculation with PBE-GGA was carried out for PrHfCu2 after structural relaxation.

abc: 4.887 4.887 3.331
angles: 90.00 90.00 90.00
Space group P4/mmm (No. 123)
Asymmetric unit:
Pr: 0.000 0.000 0.000
Hf: 0.500 0.500 0.000
Cu: 0.000 0.500 0.500

## Properties
magnetization = 0.6 μB/cell


*two*
A plane-wave DFT calculation with PBE-GGA was carried out for PrHfCu2 after structural relaxation.

abc: 3.381 3.381 7.032
angles: 90.00 90.00 90.00
Space group P4/mmm (No. 123)
Asymmetric unit:
Pr: 0.000 0.000 0.000
Hf: 0.000 0.000 0.500
Cu: 0.500 0.500 0.307

## Properties
magnetization = 0.0 μB/cell


Most stable pick: *two*. Distance to second place: 11.4 kJ/mol of atoms.


*one*
A plane-wave DFT calculation with PBE-GGA was carried out for HfCuPt3 after structural relaxation.

abc: 6.4599 6.4599 4.7014
angles: 90.00 90.00 120.00
Space group P6_3/mmc (No. 194)
Asymmetric unit:
Hf: 0.3333 0.6667 0.2500
Cu: 0.0000 0.0000 0.0000
Pt: 0.1960 0.3919 0.7500

## Properties
magnetization = 0.0 μB/cell


*two*
A plane-wave DFT calculation with PBE-GGA was carried out for HfCuPt3 after structural relaxation.

abc: 5.581 4.006 14.060
angles: 90.00 90.00 90.00
Space group Pnma (No. 62)
Asymmetric unit:
Hf: 0.095 0.250 0.150
Cu: 0.128 0.250 0.551
Pt: 0.094 0.250 0.355
Pt: 0.143 0.250 0.953
Pt: 0.156 0.250 0.748

## Properties
magnetization = 0.0 μB/cell


*three*
A plane-wave DFT calculation with PBE-GGA was carried out for HfCuPt3 after structural relaxation.

abc: 4.913 4.913 4.913
angles: 90.00 90.00 90.00
Space group Pm-3m (No. 221)
Asymmetric unit:
Hf: 0.000 0.000 0.000
Cu: 0.500 0.500 0.500
Pt: 0.000 0.000 0.500

## Properties
magnetization = 0.0 μB/cell


Most stable pick: *two*. Distance to second place: 36.3 kJ/mol of atoms.


*one*
A plane-wave DFT calculation with PBE-GGA was carried out for Hf3CuPt after structural relaxation.

abc: 4.756 4.756 4.756
angles: 90.00 90.00 90.00
Space group Pm-3m (No. 221)
Asymmetric unit:
Hf: 0.000 0.000 0.500
Cu: 0.000 0.000 0.000
Pt: 0.500 0.500 0.500

## Properties
magnetization = 0.0 μB/cell


*two*
A plane-wave DFT calculation with PBE-GGA was carried out for Hf3CuPt after structural relaxation.

abc: 13.909 3.311 8.306
angles: 90.00 94.02 90.00
Space group C2/m (No. 12)
Asymmetric unit:
Hf: 0.037 0.000 0.216
Hf: 0.097 0.500 0.564
Hf: 0.231 0.000 0.825
Cu: 0.208 0.000 0.405
Pt: 0.101 0.500 0.960

## Properties
magnetization = 0.0 μB/cell


Most stable pick: *two*. Distance to second place: 85.8 kJ/mol of atoms.


*one*
A plane-wave DFT calculation with PBE-GGA was carried out for HfCu2Pt2 after structural relaxation.

abc: 7.234 7.234 2.977
angles: 90.00 90.00 90.00
Space group P4/mbm (No. 127)
Asymmetric unit:
Hf: 0.000 0.000 0.000
Cu: 0.158 0.342 0.500
Pt: 0.139 0.639 0.000

## Properties
magnetization = 0.0 μB/cell


*two*
A plane-wave DFT calculation with PBE-GGA was carried out for HfCu2Pt2 after structural relaxation.

abc: 7.157 7.157 2.971
angles: 90.00 90.00 90.00
Space group P4/mbm (No. 127)
Asymmetric unit:
Hf: 0.000 0.000 0.000
Cu: 0.119 0.381 0.000
Pt: 0.178 0.678 0.500

## Properties
magnetization = 0.0 μB/cell


*three*
A plane-wave DFT calculation with PBE-GGA was carried out for HfCu2Pt2 after structural relaxation.

abc: 3.459 3.459 13.560
angles: 90.00 90.00 90.00
Space group I4/mmm (No. 139)
Asymmetric unit:
Hf: 0.000 0.000 0.000
Cu: 0.000 0.500 0.250
Pt: 0.000 0.000 0.398

## Properties
magnetization = 0.0 μB/cell


Most stable pick: *three*. Distance to second place: 6.6 kJ/mol of atoms.